Computed, not measured: an optimized crystal structure of NaTl2H2 at the PBE-GGA level of DFT.

Output
Its energy above the most stable polymorph in this dataset is 0 meV per atom. The value obtained for the raw total energy is -2.343 eV per atom. Its space group is P4/mbm.

Lattice parameters (Å, degrees): 6.591 6.591 4.532 90.00 90.00 90.00
Positions (direct):
Na: 0.000 0.000 0.000
Na: 0.500 0.500 0.000
Tl: 0.186 0.686 0.500
Tl: 0.686 0.814 0.500
Tl: 0.814 0.314 0.500
Tl: 0.314 0.186 0.500
H: 0.278 0.778 0.000
H: 0.778 0.722 0.000
H: 0.722 0.222 0.000
H: 0.222 0.278 0.000